Y2PbS | GGA-PBE | relaxed

a = 3.8134 Å, b = 3.8134 Å, c = 8.1913 Å
α = 90.00°, β = 90.00°, γ = 120.00°
With the nearest neighbours (Å) after each atom.
Atoms (fractional coordinates):
Y  0.3333  0.6667  0.3058  3 S 2.72
Y  0.6667  0.3333  0.6942  3 S 2.72
Pb  0.0000  0.0000  0.0000  6 Y 3.33
S  0.0000  0.0000  0.5000  6 Y 2.72

Symmetry: P-3m1, No. 164
Theoretical density, g/cm³: 6.71
Energy relative to the lowest polymorph listed for this composition, meV per atom: 58.1
DOS(E_F), states/eV per cell: 2.7